Here is an optimized crystal structure of LiCrW2O8 from Alexandria. Energies are from PBE+U.

Values from the calculation:
space group	C2/c
DOS at the Fermi energy	0.00	states/eV/f.u.
magnetic moment	3.0	μB/f.u.
DFT total energy	-7.32	eV/atom

abc: 5.019 7.423 7.423
angles: 101.53 90.68 90.68
Last column: magnetic moment on the atom in μB.
Atoms (fractional coordinates):
O 0.608 0.928 0.317  -0.02
O 0.446 0.805 0.902  0.00
O 0.087 0.799 0.436  -0.02
O 0.587 0.436 0.799  -0.02
O 0.913 0.201 0.564  -0.02
O 0.108 0.317 0.928  -0.02
O 0.554 0.195 0.098  0.00
O 0.892 0.683 0.072  -0.02
O 0.418 0.304 0.424  -0.01
O 0.392 0.072 0.683  -0.02
O 0.054 0.098 0.195  0.00
O 0.082 0.576 0.696  -0.01
O 0.582 0.696 0.576  -0.01
O 0.918 0.424 0.304  -0.01
O 0.413 0.564 0.201  -0.02
O 0.946 0.902 0.805  0.00
Li 0.750 0.160 0.840  0.00
Li 0.250 0.840 0.160  0.00
Cr 0.250 0.324 0.676  2.94
Cr 0.750 0.676 0.324  2.94
W 0.742 0.163 0.339  0.04
W 0.758 0.661 0.837  0.04
W 0.258 0.837 0.661  0.04
W 0.242 0.339 0.163  0.04